Material: ThSi2
Method: DFT, GGA-PBE
State: optimized geometry

magnetization	0.03	Bohr magnetons per cell
E	-26.1	eV/cell

Cell lengths 9.213, 9.213, 9.213 Å; angles 60.00, 60.00, 60.00 degrees
Element x y z (fractional)
Si 0.625 0.625 0.125
Si 0.625 0.125 0.625
Si 0.125 0.625 0.625
Si 0.625 0.625 0.625
Th 0.500 0.500 0.500
Th 0.750 0.750 0.750

***

Material: MgCuP
Method: DFT, GGA-PBE
State: optimized geometry

E	-47.9	eV/cell

Cell lengths 6.472, 3.819, 7.111 Å; angles 90.00, 90.00, 90.00 degrees
Element x y z (fractional)
Cu 0.371 0.750 0.060
Cu 0.871 0.750 0.440
Cu 0.129 0.250 0.560
Cu 0.629 0.250 0.940
Mg 0.031 0.250 0.179
Mg 0.531 0.250 0.321
Mg 0.469 0.750 0.679
Mg 0.969 0.750 0.821
P 0.747 0.750 0.123
P 0.247 0.750 0.377
P 0.753 0.250 0.623
P 0.253 0.250 0.877

***

Material: KCdIn
Method: DFT, GGA-PBE
State: optimized geometry

excess energy over the best structure of this formula in the dataset	0.000	eV/atom

Cell lengths 6.651, 6.651, 6.651 Å; angles 133.81, 99.37, 98.33 degrees
Element x y z (fractional)
Cd 0.786 0.128 0.158
Cd 0.970 0.628 0.842
In 0.142 0.478 0.163
In 0.315 0.978 0.837
K 0.734 0.804 0.430
K 0.374 0.304 0.570

***

Material: Y2NbIr
Method: DFT, GGA-PBE
State: optimized geometry

magnetization	0.02	Bohr magnetons per cell
formation enthalpy at 0 K	35	meV/atom

Cell lengths 4.887, 4.887, 4.887 Å; angles 60.00, 60.00, 60.00 degrees
Element x y z (fractional)
Ir 0.250 0.250 0.250
Nb 0.500 0.500 0.500
Y 0.000 0.000 0.000
Y 0.750 0.750 0.750

***

Material: Zr3NiN2
Method: DFT, GGA-PBE
State: optimized geometry

magnetization	0.02	Bohr magnetons per cell
E	-109.5	eV/cell

Cell lengths 3.265, 3.265, 18.243 Å; angles 90.00, 90.00, 120.00 degrees
Element x y z (fractional)
N 0.333 0.667 0.073
N 0.333 0.667 0.427
N 0.667 0.333 0.573
N 0.667 0.333 0.927
Ni 0.000 0.000 0.250
Ni 0.000 0.000 0.750
Zr 0.000 0.000 0.000
Zr 0.667 0.333 0.146
Zr 0.667 0.333 0.354
Zr 0.000 0.000 0.500
Zr 0.333 0.667 0.646
Zr 0.333 0.667 0.854

***

Material: ScPOsO
Method: DFT, GGA-PBE
State: optimized geometry

magnetization	0.00	Bohr magnetons per cell
excess energy over the best structure of this formula in the dataset	0.553	eV/atom

Cell lengths 3.908, 5.509, 5.499 Å; angles 90.00, 90.00, 90.00 degrees
Element x y z (fractional)
O 0.000 0.209 0.095
O 0.000 0.791 0.595
Os 0.000 0.502 0.355
Os 0.000 0.498 0.855
P 0.500 0.689 0.131
P 0.500 0.311 0.631
Sc 0.500 0.185 0.165
Sc 0.500 0.815 0.665

***

Material: Tb2MgCd
Method: DFT, GGA-PBE
State: optimized geometry

magnetization	0.11	Bohr magnetons per cell
E	-25.0	eV/cell

Cell lengths 6.546, 6.546, 5.354 Å; angles 90.00, 90.00, 112.89 degrees
Element x y z (fractional)
Cd 0.149 0.851 0.250
Cd 0.851 0.149 0.750
Mg 0.635 0.365 0.250
Mg 0.365 0.635 0.750
Tb 0.131 0.358 0.250
Tb 0.642 0.869 0.250
Tb 0.358 0.131 0.750
Tb 0.869 0.642 0.750

***

Material: LiSmTl
Method: DFT, GGA-PBE
State: optimized geometry

magnetization	0.02	Bohr magnetons per cell
excess energy over the best structure of this formula in the dataset	0.317	eV/atom

Cell lengths 5.066, 5.066, 5.066 Å; angles 60.00, 60.00, 60.00 degrees
Element x y z (fractional)
Li 0.250 0.250 0.250
Sm 0.000 0.000 0.000
Tl 0.750 0.750 0.750